1.
This record from Alexandria describes a geometry-optimized Sm8Se3 structure. The functional is GGA-PBE.

Cell: 5.3601 5.3601 12.7111 Å, 77.83 77.83 60.00°
Fractional positions:
Sm  0.1792  0.1792  0.4623
Sm  0.3577  0.3577  0.9269
Sm  0.6423  0.6423  0.0731
Sm  0.8208  0.8208  0.5377
Sm  0.5449  0.5449  0.3653
Sm  0.0789  0.0789  0.7633
Sm  0.9211  0.9211  0.2367
Sm  0.4551  0.4551  0.6347
Se  0.2700  0.2700  0.1900
Se  0.7300  0.7300  0.8100
Se  0.0000  0.0000  0.0000

Properties
DOS(E_F)	10.94	states/eV per cell
formation energy from raw total energies	-632	meV per atom

=====

2.
This record from Alexandria describes a geometry-optimized Sm3Se structure. The functional is GGA-PBE.

Cell: 3.7655 6.5405 6.1249 Å, 122.27 107.90 90.00°
Fractional positions:
Se  0.0000  0.0732  0.0000
Sm  0.3050  0.6453  0.6100
Sm  0.5000  0.4129  0.0000
Sm  0.6950  0.0353  0.3900

Properties
DOS(E_F)	4.82	states/eV per cell
energy above the most stable polymorph in this dataset	0.0	meV/atom
formation energy from raw total energies	-719	meV per atom

=====

3.
This record from Alexandria describes a geometry-optimized Sm5Se6 structure. The functional is GGA-PBE.

Cell: 7.2179 7.1960 7.1818 Å, 80.35 70.48 59.90°
Fractional positions:
Sm  0.5000  0.0000  0.5000
Sm  0.3347  0.3306  0.0000
Sm  0.6653  0.6694  0.0000
Sm  0.1646  0.6707  0.5000
Sm  0.8354  0.3293  0.5000
Se  0.7536  0.0000  0.7558
Se  0.2464  0.0000  0.2442
Se  0.4122  0.6702  0.7519
Se  0.9175  0.6702  0.2481
Se  0.5878  0.3298  0.2481
Se  0.0825  0.3298  0.7519

Properties
DOS(E_F)	4.57	states/eV per cell
formation energy from raw total energies	-1887	meV per atom

=====

4.
This record from Alexandria describes a geometry-optimized Sm2Se3 structure. The functional is GGA-PBE.

Cell: 14.6631 14.6631 14.6631 Å, 144.89 144.89 50.50°
Fractional positions:
Sm  0.8445  0.9521  0.3758
Sm  0.5763  0.4687  0.6242
Sm  0.1663  0.1663  0.0000
Sm  0.8750  0.5062  0.1312
Sm  0.1737  0.2979  0.3924
Sm  0.5837  0.0837  0.5000
Sm  0.9055  0.7813  0.6076
Sm  0.3750  0.7438  0.8688
Sm  0.2187  0.8263  0.1242
Sm  0.9163  0.4163  0.5000
Sm  0.4938  0.6250  0.3688
Sm  0.2562  0.1250  0.6312
Sm  0.7021  0.0945  0.8758
Sm  0.8337  0.8337  0.0000
Sm  0.5313  0.1555  0.1076
Sm  0.0479  0.4237  0.8924
Se  0.5075  0.1125  0.2534
Se  0.0731  0.8262  0.6076
Se  0.8592  0.2541  0.7466
Se  0.8908  0.1375  0.8949
Se  0.2425  0.9959  0.1051
Se  0.6769  0.7845  0.2531
Se  0.2186  0.4655  0.3924
Se  0.8424  0.4363  0.2462
Se  0.5314  0.4238  0.7469
Se  0.4038  0.1576  0.5939
Se  0.1900  0.5962  0.7538
Se  0.2155  0.4686  0.8924
Se  0.5762  0.3231  0.1076
Se  0.0041  0.1092  0.2466
Se  0.5637  0.8099  0.4061
Se  0.1738  0.7814  0.2469
Se  0.8625  0.7575  0.7534
Se  0.7459  0.4925  0.6051
Se  0.5345  0.9269  0.7531
Se  0.5599  0.8137  0.9061
Se  0.9076  0.6538  0.0939
Se  0.3462  0.4400  0.2538
Se  0.8875  0.1408  0.3949
Se  0.1863  0.0924  0.7462

Properties
DOS(E_F)	0.00	states/eV per cell
formation energy from raw total energies	-1879	meV per atom

=====

5.
This record from Alexandria describes a geometry-optimized Sm4Se3 structure. The functional is GGA-PBE.

Cell: 4.0781 4.0781 13.7134 Å, 81.45 81.45 60.00°
Fractional positions:
Sm  0.3786  0.3786  0.8641
Sm  0.1297  0.1297  0.6108
Sm  0.8703  0.8703  0.3892
Sm  0.6214  0.6214  0.1359
Se  0.7536  0.7536  0.7393
Se  0.2464  0.2464  0.2607
Se  0.0000  0.0000  0.0000

Properties
DOS(E_F)	3.28	states/eV per cell
formation energy from raw total energies	-1518	meV per atom

=====

6.
This record from Alexandria describes a geometry-optimized Sm5Se4 structure. The functional is GGA-PBE.

Cell: 6.5356 8.8351 8.8351 Å, 120.00 90.00 90.00°
Fractional positions:
Sm  0.7500  0.0000  0.7296
Sm  0.7500  0.7296  0.0000
Sm  0.7500  0.2704  0.2704
Sm  0.2500  0.0000  0.2704
Sm  0.2500  0.2704  0.0000
Sm  0.2500  0.7296  0.7296
Sm  0.0000  0.3333  0.6667
Sm  0.5000  0.6667  0.3333
Sm  0.0000  0.6667  0.3333
Sm  0.5000  0.3333  0.6667
Se  0.0000  0.0000  0.0000
Se  0.5000  0.0000  0.0000
Se  0.7500  0.0000  0.3888
Se  0.7500  0.3888  0.0000
Se  0.7500  0.6112  0.6112
Se  0.2500  0.0000  0.6112
Se  0.2500  0.6112  0.0000
Se  0.2500  0.3888  0.3888

Properties
DOS(E_F)	12.23	states/eV per cell
energy above the most stable polymorph in this dataset	0.0	meV/atom
formation energy from raw total energies	-1404	meV per atom

=====

7.
This record from Alexandria describes a geometry-optimized Sm5SnSe4 structure. The functional is GGA-PBE.

Cell: 5.9931 7.3518 7.3518 Å, 80.44 65.95 65.95°
Fractional positions:
Sm  0.9010  0.4056  0.7944
Sm  0.3066  0.7944  0.5944
Sm  0.6954  0.2056  0.4056
Sm  0.1010  0.5944  0.2056
Sm  0.5011  0.0000  0.0000
Sn  0.0011  0.0000  0.0000
Se  0.3980  0.4027  0.8033
Se  0.8008  0.8033  0.5973
Se  0.2013  0.1967  0.4027
Se  0.6040  0.5973  0.1967

Properties
DOS(E_F)	4.65	states/eV per cell
formation energy from raw total energies	-1620	meV per atom

=====

8.
This record from Alexandria describes a geometry-optimized SmSn3Se6 structure. The functional is GGA-PBE.

Cell: 4.0620 12.1716 12.0568 Å, 113.14 90.00 90.00°
Fractional positions:
Sm  0.7500  0.0559  0.7106
Sm  0.2500  0.9441  0.2894
Sn  0.7500  0.4718  0.8513
Sn  0.2500  0.5282  0.1487
Sn  0.7500  0.7127  0.4502
Sn  0.2500  0.2873  0.5498
Sn  0.7500  0.1618  0.1217
Sn  0.2500  0.8382  0.8783
Se  0.7500  0.4592  0.6180
Se  0.2500  0.5408  0.3820
Se  0.7500  0.9304  0.0935
Se  0.2500  0.0696  0.9064
Se  0.7500  0.3557  0.0606
Se  0.2500  0.6443  0.9394
Se  0.7500  0.7505  0.2438
Se  0.2500  0.2495  0.7562
Se  0.7500  0.0961  0.4744
Se  0.2500  0.9039  0.5256
Se  0.7500  0.8007  0.7175
Se  0.2500  0.1993  0.2825

Properties
DOS(E_F)	5.97	states/eV per cell
formation energy from raw total energies	-716	meV per atom